Entry 1:
The following is a DFT calculation (PBE) of YHo2Cu2 after structural relaxation.

Geometry as POSCAR:
```
YHo2Cu2
1.0
-1.859 -0.657 2.880
-1.376 -4.473 -1.909
11.309 -5.187 4.006
Y Ho Cu
2 4 4
Direct
0.858 0.750 0.717 Y
0.142 0.250 0.283 Y
0.770 0.250 0.540 Ho
0.230 0.750 0.460 Ho
0.953 0.250 0.906 Ho
0.047 0.750 0.094 Ho
0.641 0.750 0.281 Cu
0.359 0.250 0.719 Cu
0.455 0.750 0.911 Cu
0.545 0.250 0.089 Cu
```

Computed properties:
Raw total energy (eV per cell): -49.39
DFT formation energy (meV per atom): -177
Total magnetization (μB/cell): 0.00


Entry 2:
The following is a DFT calculation (PBE) of Cd2SbAsRh after structural relaxation.

Geometry as POSCAR:
```
Cd2SbAsRh
1.0
-3.085 2.325 -3.576
-3.422 0.086 3.008
1.602 4.722 1.687
Rh Cd Sb As
1 2 1 1
Direct
0.000 0.000 0.000 Rh
0.500 0.000 0.000 Cd
0.000 0.000 0.500 Cd
0.500 0.500 0.500 Sb
0.000 0.500 0.000 As
```

Computed properties:
Raw total energy (eV per cell): -17.01
Total magnetization (μB/cell): 0.00


Number 1: volume 228.55 Å³ per cell. Number 2: volume 126.25 Å³ per cell.